The following is a DFT calculation (PBE) of a relaxed structure of KBaAlS3.

Results
Magnetic moment, μB per cell: 0.000
Theoretical density, Mg/m³: 2.75
Crystal system: monoclinic
Energy, eV per atom: -4.53
Formation energy from raw total energies, eV/atom: -1.34

Cell: 6.5427 6.5427 9.4776 Å, 106.74 106.74 73.10°
Element x y z (fractional)
1 K 0.2077 0.7923 0.0000
2 K 0.7923 0.2077 0.0000
3 Ba 0.1866 0.1866 0.6543
4 Ba 0.8134 0.8134 0.3457
5 Al 0.4477 0.4477 0.2525
6 Al 0.5523 0.5523 0.7475
7 S 0.2015 0.6782 0.6593
8 S 0.2846 0.2846 0.0329
9 S 0.3218 0.7985 0.3407
10 S 0.6782 0.2015 0.6593
11 S 0.7154 0.7154 0.9671
12 S 0.7985 0.3218 0.3407